Entry 1:
! La3CeEr2As6, relaxed, DFT PBE; values from VASP
&SYSTEM
  ibrav = 0, nat = 12, ntyp = 4
/
ATOMIC_SPECIES
As 74.92 As.upf
Ce 140.12 Ce.upf
Er 167.26 Er.upf
La 138.91 La.upf
ATOMIC_POSITIONS crystal
As 0.257 0.257 0.765
As 0.586 0.921 0.764
As 0.414 0.079 0.236
As 0.921 0.586 0.764
As 0.743 0.743 0.235
As 0.079 0.414 0.236
Ce 0.000 0.000 0.000
Er 0.667 0.333 0.000
Er 0.333 0.667 0.000
La 0.166 0.834 0.500
La 0.500 0.500 0.500
La 0.834 0.166 0.500
CELL_PARAMETERS angstrom
7.358 -0.001 0.000
-3.678 6.373 0.000
-1.227 -2.125 6.954
! formation enthalpy at 0 K = -1.524 eV/atom
! M_tot = 0.5 Bohr magnetons per cell
! theoretical density = 6.8 g/cm3


Entry 2:
! La3Ce2ErAs6, relaxed, DFT PBE; values from VASP
&SYSTEM
  ibrav = 0, nat = 12, ntyp = 4
/
ATOMIC_SPECIES
As 74.92 As.upf
La 138.91 La.upf
Ce 140.12 Ce.upf
Er 167.26 Er.upf
ATOMIC_POSITIONS crystal
As 0.251 0.251 0.762
As 0.590 0.921 0.763
As 0.921 0.590 0.763
As 0.079 0.410 0.237
As 0.749 0.749 0.238
As 0.410 0.079 0.237
La 0.167 0.833 0.500
La 0.500 0.500 0.500
La 0.833 0.167 0.500
Ce 0.666 0.334 0.000
Ce 0.334 0.666 0.000
Er 0.000 0.000 0.000
CELL_PARAMETERS angstrom
7.395 -0.001 0.000
-3.697 6.405 0.000
-1.234 -2.136 6.994
! formation enthalpy at 0 K = -1.509 eV/atom
! M_tot = 1.2 Bohr magnetons per cell
! theoretical density = 6.6 g/cm3


Entry 3:
! La2CeEr3As6, relaxed, DFT PBE; values from VASP
&SYSTEM
  ibrav = 0, nat = 12, ntyp = 4
/
ATOMIC_SPECIES
As 74.92 As.upf
La 138.91 La.upf
Er 167.26 Er.upf
Ce 140.12 Ce.upf
ATOMIC_POSITIONS crystal
As 0.663 0.593 0.326
As 0.667 0.073 0.335
As 0.337 0.407 0.674
As 0.004 0.749 0.008
As 0.333 0.927 0.665
As 0.996 0.251 0.992
La 0.833 0.666 0.667
La 0.167 0.334 0.333
Er 0.500 0.500 0.000
Er 0.833 0.166 0.665
Er 0.167 0.834 0.335
Ce 0.500 0.000 0.000
CELL_PARAMETERS angstrom
-3.883 -0.411 -1.573
3.198 -0.554 -7.750
1.738 -8.510 3.565
! formation enthalpy at 0 K = -1.513 eV/atom
! M_tot = 0.6 Bohr magnetons per cell
! theoretical density = 7.2 g/cm3


Entry 4:
! LaCe2Er3As6, relaxed, DFT PBE; values from VASP
&SYSTEM
  ibrav = 0, nat = 12, ntyp = 4
/
ATOMIC_SPECIES
Er 167.26 Er.upf
As 74.92 As.upf
La 138.91 La.upf
Ce 140.12 Ce.upf
ATOMIC_POSITIONS crystal
Er 0.500 0.500 0.500
Er 0.165 0.835 0.500
Er 0.835 0.165 0.500
As 0.426 0.087 0.260
As 0.747 0.747 0.260
As 0.253 0.253 0.740
As 0.087 0.426 0.260
As 0.574 0.913 0.740
As 0.913 0.574 0.740
La 0.000 0.000 0.000
Ce 0.333 0.667 0.000
Ce 0.667 0.333 0.000
CELL_PARAMETERS angstrom
-1.256 -1.446 -6.986
-0.854 -5.189 4.982
-5.798 4.042 1.459
! formation enthalpy at 0 K = -1.491 eV/atom
! M_tot = 1.3 Bohr magnetons per cell
! theoretical density = 7.4 g/cm3


Entry 5:
! LiCe2ErAs4, relaxed, DFT PBE; values from VASP
&SYSTEM
  ibrav = 0, nat = 8, ntyp = 4
/
ATOMIC_SPECIES
Ce 140.12 Ce.upf
As 74.92 As.upf
Li 6.94 Li.upf
Er 167.26 Er.upf
ATOMIC_POSITIONS crystal
Ce 0.000 0.500 0.500
Ce 0.500 0.000 0.500
As 0.000 0.754 0.255
As 0.500 0.248 0.247
As 0.500 0.752 0.753
As 0.000 0.246 0.745
Li 0.500 0.500 0.000
Er 0.000 0.000 0.000
CELL_PARAMETERS angstrom
4.194 0.000 0.000
0.000 7.256 0.157
0.000 -2.506 6.490
! formation enthalpy at 0 K = -1.146 eV/atom
! M_tot = 0.3 Bohr magnetons per cell
! theoretical density = 6.3 g/cm3


Entry 6:
! CeNd2Er3As6, relaxed, DFT PBE; values from VASP
&SYSTEM
  ibrav = 0, nat = 12, ntyp = 4
/
ATOMIC_SPECIES
As 74.92 As.upf
Er 167.26 Er.upf
Ce 140.12 Ce.upf
Nd 144.24 Nd.upf
ATOMIC_POSITIONS crystal
As 0.667 0.076 0.335
As 0.003 0.748 0.006
As 0.333 0.924 0.665
As 0.664 0.590 0.328
As 0.997 0.252 0.994
As 0.336 0.410 0.672
Er 0.832 0.167 0.665
Er 0.500 0.500 0.000
Er 0.168 0.833 0.335
Ce 0.500 0.000 0.000
Nd 0.833 0.665 0.666
Nd 0.167 0.335 0.334
CELL_PARAMETERS angstrom
4.174 0.000 0.000
0.000 8.327 0.311
-2.087 -2.387 8.750
! formation enthalpy at 0 K = -1.499 eV/atom
! M_tot = 0.5 Bohr magnetons per cell
! theoretical density = 7.5 g/cm3


Entry 7:
! Ce3NdEr2As6, relaxed, DFT PBE; values from VASP
&SYSTEM
  ibrav = 0, nat = 12, ntyp = 4
/
ATOMIC_SPECIES
As 74.92 As.upf
Ce 140.12 Ce.upf
Er 167.26 Er.upf
Nd 144.24 Nd.upf
ATOMIC_POSITIONS crystal
As 0.577 0.917 0.752
As 0.258 0.258 0.754
As 0.423 0.083 0.248
As 0.917 0.577 0.752
As 0.742 0.742 0.246
As 0.083 0.423 0.248
Ce 0.165 0.835 0.500
Ce 0.500 0.500 0.500
Ce 0.835 0.165 0.500
Er 0.667 0.333 0.000
Er 0.333 0.667 0.000
Nd 0.000 0.000 0.000
CELL_PARAMETERS angstrom
7.248 -0.001 0.000
-3.623 6.278 0.000
-1.210 -2.094 6.819
! formation enthalpy at 0 K = -1.467 eV/atom
! M_tot = 1.9 Bohr magnetons per cell
! theoretical density = 7.2 g/cm3


Entry 8:
! Ce2NdErAs4, relaxed, DFT PBE; values from VASP
&SYSTEM
  ibrav = 0, nat = 8, ntyp = 4
/
ATOMIC_SPECIES
Er 167.26 Er.upf
As 74.92 As.upf
Ce 140.12 Ce.upf
Nd 144.24 Nd.upf
ATOMIC_POSITIONS crystal
Er 0.000 0.500 0.500
As 0.500 0.747 0.257
As 0.500 0.253 0.743
As 0.000 0.248 0.256
As 0.000 0.752 0.744
Ce 0.500 0.000 0.500
Ce 0.000 0.000 0.000
Nd 0.500 0.500 0.000
CELL_PARAMETERS angstrom
4.199 0.000 0.000
0.000 7.262 -0.140
0.000 2.559 6.810
! formation enthalpy at 0 K = -1.467 eV/atom
! M_tot = 1.3 Bohr magnetons per cell
! theoretical density = 7.1 g/cm3